[1]
DFT (PBE) results for crystalline BaNiN at its relaxed geometry.

POSCAR file:
```
BaNiN
1.0
-8.6619 4.2573 0.8659
-0.3601 -3.4299 13.2610
2.4253 4.6753 1.2751
N Ni Ba
12 12 12
direct
0.0730 0.0765 0.2264
0.7224 0.2500 0.8453
0.5730 0.0765 0.2736
0.2776 0.7500 0.1547
0.9270 0.5765 0.7736
0.9270 0.9235 0.7736
0.0730 0.4235 0.2264
0.4270 0.5765 0.7264
0.4270 0.9235 0.7264
0.2224 0.2500 0.6547
0.5730 0.4235 0.2736
0.7776 0.7500 0.3453
0.6460 0.1619 0.0587
0.0000 0.5000 0.0000
0.5000 0.0000 0.5000
0.6460 0.3381 0.0587
0.8540 0.6619 0.5587
0.0000 0.0000 0.0000
0.8540 0.8381 0.5587
0.5000 0.5000 0.5000
0.3540 0.8381 0.9413
0.1460 0.3381 0.4413
0.1460 0.1619 0.4413
0.3540 0.6619 0.9413
0.1724 0.5882 0.4737
0.3276 0.4118 0.9737
0.5033 0.7500 0.4803
0.6724 0.5882 0.0263
0.8276 0.0882 0.5263
0.9967 0.2500 0.9803
0.4967 0.2500 0.5197
0.6724 0.9118 0.0263
0.3276 0.0882 0.9737
0.8276 0.4118 0.5263
0.1724 0.9118 0.4737
0.0033 0.7500 0.0197
```

Values from the calculation:
**Space-group type**: Pnma (62)
**VASP energy**: -17.2 eV/f.u.
**Calculated density**: 5.8 g/cm³
**Size of the total moment**: 0.165 μB per formula unit

***

[2]
DFT (PBE) results for crystalline ZrH6 at its relaxed geometry.

POSCAR file:
```
ZrH6
1.0
1.7137 -3.3055 0.0000
1.7137 3.3055 0.0000
0.0000 0.0000 7.1349
H Zr
12 2
direct
0.5185 0.4815 0.2923
0.6053 0.3947 0.0280
0.3947 0.6053 0.5280
0.1473 0.2741 0.5661
0.3176 0.6824 0.0806
0.1620 0.8380 0.3578
0.2741 0.1473 0.0661
0.6824 0.3176 0.5806
0.7259 0.8527 0.5661
0.4815 0.5185 0.7923
0.8380 0.1620 0.8578
0.8527 0.7259 0.0661
0.8243 0.1757 0.3452
0.1757 0.8243 0.8452
```

Values from the calculation:
**Space-group type**: Cmc2_1 (36)
**VASP energy**: -28.1 eV/f.u.
**Calculated density**: 4.0 g/cm³
**Size of the total moment**: 0.001 μB per formula unit

***

[3]
DFT (PBE) results for crystalline LaLuCo at its relaxed geometry.

POSCAR file:
```
LaLuCo
1.0
0.0000 3.2923 3.2923
3.2923 0.0000 3.2923
3.2923 3.2923 0.0000
Co La Lu
1 1 1
direct
0.2500 0.2500 0.2500
0.0000 0.0000 0.0000
0.7500 0.7500 0.7500
```

Values from the calculation:
**Space-group type**: F-43m (216)
**VASP energy**: -14.1 eV/f.u.
**Calculated density**: 8.7 g/cm³
**Size of the total moment**: 0.145 μB per formula unit
**Polymorph energy (0 for the lowest one)**: 149 meV/atom

***

[4]
DFT (PBE) results for crystalline HoBe2Ge at its relaxed geometry.

POSCAR file:
```
HoBe2Ge
1.0
2.8350 -3.4147 0.0000
2.8350 3.4147 0.0000
0.0000 0.0000 6.7940
Be Ge Ho
4 2 2
direct
0.3730 0.9759 0.7500
0.6270 0.0241 0.2500
0.9759 0.3730 0.2500
0.0241 0.6270 0.7500
0.8860 0.1140 0.7500
0.1140 0.8860 0.2500
0.5000 0.5000 0.5000
0.5000 0.5000 0.0000
```

Values from the calculation:
**Space-group type**: Cmcm (63)
**VASP energy**: -16.5 eV/f.u.
**Calculated density**: 6.5 g/cm³
**Size of the total moment**: 0.002 μB per formula unit

***

[5]
DFT (PBE) results for crystalline AgTe2Mo at its relaxed geometry.

POSCAR file:
```
AgTe2Mo
1.0
-3.1662 3.1662 6.1576
3.1662 -3.1662 6.1576
3.1662 3.1662 -6.1576
Te Ag Mo
4 2 2
direct
0.1483 0.1250 0.5233
0.3750 0.8517 0.9767
0.8750 0.3983 0.0233
0.6017 0.6250 0.4767
0.7500 0.2500 0.5000
0.0000 0.0000 0.0000
0.2500 0.7500 0.5000
0.5000 0.5000 0.0000
```

Values from the calculation:
**Space-group type**: I-42d (122)
**VASP energy**: -18.7 eV/f.u.
**Calculated density**: 6.2 g/cm³
**Size of the total moment**: 1.236 μB per formula unit
**Polymorph energy (0 for the lowest one)**: 0 meV/atom

***

[6]
DFT (PBE) results for crystalline Ta3Co at its relaxed geometry.

POSCAR file:
```
Ta3Co
1.0
5.2506 0.0000 0.0000
-2.6253 4.5471 0.0000
0.0000 0.0000 16.6253
Ta Co
18 6
direct
0.0000 0.0000 0.4010
0.5000 0.5000 0.5000
0.5000 0.0000 0.5000
0.3333 0.6667 0.8378
0.3333 0.6667 0.3565
0.0000 0.0000 0.9010
0.3333 0.6667 0.6622
0.6667 0.3333 0.3378
0.0000 0.0000 0.5990
0.6667 0.3333 0.1622
0.5000 0.5000 0.0000
0.0000 0.0000 0.0990
0.6667 0.3333 0.6435
0.0000 0.5000 0.5000
0.3333 0.6667 0.1435
0.6667 0.3333 0.8565
0.0000 0.5000 0.0000
0.5000 0.0000 0.0000
0.1475 0.2949 0.2500
0.8525 0.7051 0.7500
0.8525 0.1475 0.7500
0.7051 0.8525 0.2500
0.1475 0.8525 0.2500
0.2949 0.1475 0.7500
```

Values from the calculation:
**Space-group type**: P6_3/mmc (194)
**VASP energy**: -42.7 eV/f.u.
**Calculated density**: 15.1 g/cm³
**Size of the total moment**: 0.013 μB per formula unit